A plane-wave DFT calculation with PBE was carried out for a geometry-optimized NpTlAg2Te4 structure.

Values from the calculation:
Uncorrected formation energy = -0.13 eV/atom
Calculated density = 8.00 Mg/m³
Magnetization = 3.267 μB per formula unit

Unit cell a=7.483 b=7.976 c=8.125 alpha=90.00 beta=90.00 gamma=90.00
Atoms (fractional coordinates):
Np 0.000 0.000 0.000
Np 0.500 0.500 0.500
Tl 0.000 0.000 0.500
Tl 0.500 0.500 0.000
Ag 0.000 0.500 0.322
Ag 0.000 0.500 0.678
Ag 0.500 0.000 0.178
Ag 0.500 0.000 0.822
Te 0.240 0.247 0.810
Te 0.240 0.753 0.190
Te 0.260 0.253 0.310
Te 0.260 0.747 0.690
Te 0.740 0.253 0.690
Te 0.740 0.747 0.310
Te 0.760 0.247 0.190
Te 0.760 0.753 0.810

A plane-wave DFT calculation with PBE was carried out for a geometry-optimized Np2TlAgTe4 structure.

Values from the calculation:
Uncorrected formation energy = -0.49 eV/atom
Calculated density = 8.19 Mg/m³
Magnetization = 8.000 μB per formula unit

Unit cell a=7.811 b=7.811 c=15.730 alpha=90.00 beta=90.00 gamma=146.79
Atoms (fractional coordinates):
Np 0.130 0.870 0.568
Np 0.130 0.870 0.932
Np 0.870 0.130 0.068
Np 0.870 0.130 0.432
Tl 0.373 0.627 0.750
Tl 0.627 0.373 0.250
Ag 0.342 0.658 0.250
Ag 0.658 0.342 0.750
Te 0.047 0.953 0.750
Te 0.230 0.770 0.107
Te 0.230 0.770 0.393
Te 0.500 0.500 0.000
Te 0.500 0.500 0.500
Te 0.770 0.230 0.607
Te 0.770 0.230 0.893
Te 0.953 0.047 0.250

A plane-wave DFT calculation with PBE was carried out for a geometry-optimized NpTlAgTe2 structure.

Values from the calculation:
Uncorrected formation energy = -0.22 eV/atom
Calculated density = 8.30 Mg/m³
Magnetization = 4.972 μB per formula unit

Unit cell a=8.800 b=8.800 c=6.584 alpha=90.00 beta=90.00 gamma=140.88
Atoms (fractional coordinates):
Np 0.250 0.250 0.000
Np 0.750 0.750 0.000
Tl 0.250 0.750 0.727
Tl 0.750 0.250 0.273
Ag 0.000 0.000 0.500
Ag 0.500 0.500 0.500
Te 0.130 0.870 0.251
Te 0.370 0.630 0.251
Te 0.630 0.370 0.749
Te 0.870 0.130 0.749